Compound: FeAuOF2
Source: Alexandria
Functional: PBE+U
Structure: relaxed

* final energy: -3.816 eV per atom
* size of the total moment: 4.19 μB/f.u.
* distance to the lowest polymorph of the same formula: 826 meV per atom

a = 4.411 Å, b = 4.411 Å, c = 4.105 Å
α = 90.00°, β = 90.00°, γ = 90.00°
Positions (direct):
Fe  0.000  0.000  0.000
Au  0.500  0.500  0.500
O  0.500  0.500  0.000
F  0.000  0.500  0.500
F  0.500  0.000  0.500